VASP calculation (GGA-PBEsol) on crystalline CrTcW2 at its relaxed geometry.

Lattice parameters (Å, degrees): 3.0557 4.3639 5.0377 115.67 107.66 90.00
Positions (direct):
Cr: 0.5000 0.0000 0.0000
Tc: 0.0000 0.5000 0.0000
W: 0.7552 0.7552 0.5104
W: 0.2448 0.2448 0.4896

Computed properties:
Energy (eV/atom): -12.1882
Calculated formation energy (kJ/mol of formula units): 36
Distance to the lowest polymorph of the same formula (meV/atom): 35